Density functional theory data (PBE) for a relaxed SrLiZrN2 crystal.

E_tot, eV/cell: -33.2
Crystal system: trigonal
Theoretical density, g/cm3: 4.76
M_tot, Bohr magnetons per cell: 0.00
Energy relative to the elements, uncorrected, kJ per mole of atoms: -84.6

abc: 3.6674 3.6674 6.4073
angles: 90.00 90.00 120.00
Space group P3m1 (No. 156)
Asymmetric unit:
1 Sr 0.0000 0.0000 0.0000 x1
2 Li 0.6667 0.3333 0.3080 x1
3 Zr 0.3333 0.6667 0.5696 x1
4 N 0.3333 0.6667 0.2482 x1
5 N 0.6667 0.3333 0.6732 x1